VASP calculation (PBE) on Li2LaCo after structural relaxation.

abc: 5.118 5.118 5.118
angles: 136.63 117.42 79.20
Atoms (fractional coordinates):
La1 0.297 0.797 0.500
Li1 0.719 0.219 0.500
Co1 0.498 0.498 0.000
Li2 0.987 0.987 0.000

- DOS at the Fermi energy (states/eV/atom) = 0.69
- ΔE to the lowest computed polymorph (kJ/mol of atoms) = 6.9
- calculated volume (Å³/cell) = 79
- total moment (Bohr magnetons per cell) = 0.0



VASP calculation (PBE) on ZrAlCu after structural relaxation.

abc: 3.943 5.431 9.443
angles: 90.00 90.00 90.00
Atoms (fractional coordinates):
Cu1 0.750 0.750 0.652
Al1 0.750 0.500 0.250
Al2 0.750 0.000 0.250
Cu2 0.750 0.250 0.848
Zr1 0.250 0.750 0.451
Zr2 0.750 0.250 0.549
Zr3 0.250 0.250 0.049
Cu3 0.250 0.750 0.152
Cu4 0.250 0.250 0.348
Al3 0.250 0.000 0.750
Al4 0.250 0.500 0.750
Zr4 0.750 0.750 0.951

- DOS at the Fermi energy (states/eV/atom) = 0.72
- VASP energy (eV/atom) = -5.847
- calculated volume (Å³/cell) = 202
- total moment (Bohr magnetons per cell) = 0.0



VASP calculation (PBE) on Si2NiW after structural relaxation.

abc: 7.939 7.939 7.939
angles: 20.65 20.65 20.65
Atoms (fractional coordinates):
W1 0.500 0.500 0.500
Si1 0.004 0.004 0.004
Ni1 0.742 0.742 0.742
Si2 0.255 0.255 0.255

- DOS at the Fermi energy (states/eV/atom) = 0.40
- ΔE to the lowest computed polymorph (kJ/mol of atoms) = 26.4
- calculated volume (Å³/cell) = 54
- formation energy from raw total energies (meV/atom) = 68
- total moment (Bohr magnetons per cell) = 0.0



VASP calculation (PBE) on PrGa2Co2P after structural relaxation.

abc: 4.248 4.248 5.604
angles: 90.00 90.00 90.00
Last column: magnetic moment on the atom in μB.
Atoms (fractional coordinates):
P1 0.000 0.000 0.000  0.01
Pr1 0.000 0.000 0.500  0.02
Ga1 0.500 0.500 0.259  0.00
Co1 0.500 0.000 0.000  0.24
Co2 0.000 0.500 0.000  0.24
Ga2 0.500 0.500 0.741  0.00

- DOS at the Fermi energy (states/eV/atom) = 1.14
- VASP energy (eV/atom) = -5.567
- calculated volume (Å³/cell) = 101
- total moment (Bohr magnetons per cell) = 0.5



VASP calculation (PBE) on TaPtS after structural relaxation.

abc: 5.329 6.334 10.977
angles: 130.34 124.95 32.45
Atoms (fractional coordinates):
Ta1 0.771 0.921 0.561
S1 0.178 0.424 0.070
Pt1 0.243 0.021 0.660
Pt2 0.136 0.630 0.773
S2 0.202 0.227 0.363
Ta2 0.608 0.730 0.873

- DOS at the Fermi energy (states/eV/atom) = 0.50
- calculated volume (Å³/cell) = 151
- formation energy from raw total energies (meV/atom) = -463
- total moment (Bohr magnetons per cell) = 0.0



VASP calculation (PBE) on RbAsSN2 after structural relaxation.

abc: 5.109 5.109 6.442
angles: 90.00 90.00 90.00
Last column: magnetic moment on the atom in μB.
Atoms (fractional coordinates):
Rb1 0.000 0.000 0.000  0.12
S1 0.000 0.000 0.500  0.35
N1 0.000 0.500 0.000  1.73
As1 0.500 0.500 0.500  -0.87
N2 0.500 0.000 0.000  1.73

- DOS at the Fermi energy (states/eV/atom) = 0.60
- ΔE to the lowest computed polymorph (kJ/mol of atoms) = 141.3
- calculated volume (Å³/cell) = 168
- formation energy from raw total energies (meV/atom) = 2501
- total moment (Bohr magnetons per cell) = 4.0



VASP calculation (PBE) on SrTe2SI after structural relaxation.

abc: 5.356 5.356 5.698
angles: 90.00 90.00 90.00
Atoms (fractional coordinates):
Sr1 0.500 0.500 0.500
Te1 0.000 0.500 0.000
Te2 0.500 0.000 0.000
S1 0.000 0.000 0.000
I1 0.000 0.000 0.500

- DOS at the Fermi energy (states/eV/atom) = 1.37
- ΔE to the lowest computed polymorph (kJ/mol of atoms) = 0.0
- calculated volume (Å³/cell) = 163
- formation energy from raw total energies (meV/atom) = -459
- total moment (Bohr magnetons per cell) = 0.0



VASP calculation (PBE) on YEr3Te6 after structural relaxation.

abc: 8.977 8.977 8.977
angles: 90.51 90.51 90.51
Atoms (fractional coordinates):
Te1 0.683 0.088 0.909
Te2 0.317 0.912 0.091
Er1 0.575 0.082 0.243
Te3 0.408 0.177 0.538
Te4 0.912 0.091 0.317
Er2 0.757 0.425 0.918
Te5 0.909 0.683 0.088
Te6 0.088 0.909 0.683
Y1 0.000 0.000 0.000
Te7 0.177 0.538 0.408
Y2 0.500 0.500 0.500
Te8 0.592 0.823 0.462
Te9 0.823 0.462 0.592
Te10 0.462 0.592 0.823
Er3 0.243 0.575 0.082
Te11 0.538 0.408 0.177
Er4 0.082 0.243 0.575
Er5 0.918 0.757 0.425
Er6 0.425 0.918 0.757
Te12 0.091 0.317 0.912

- DOS at the Fermi energy (states/eV/atom) = 0.00
- ΔE to the lowest computed polymorph (kJ/mol of atoms) = 4.3
- calculated volume (Å³/cell) = 723
- formation energy from raw total energies (meV/atom) = -1313
- total moment (Bohr magnetons per cell) = 0.0